# 1
## AgSNO2 (SCAN)

Data for a PBEsol-optimized structure of AgSNO2.

The structure in POSCAR format:
```
AgSNO2
1.0
-1.754 0.968 -3.335
0.845 -3.505 -1.462
-3.477 -1.428 1.414
Ag S O N
1 1 2 1
direct
0.000 0.000 0.000
0.500 0.500 0.500
0.000 0.500 0.000
0.500 0.000 0.000
0.000 0.000 0.500
```

Calculated values
Energy relative to the elements, uncorrected, meV per atom: 1588
Calculated total energy, eV per atom: -10.9617
Space group: P4/mmm (123)
V, Å³ per cell: 60.8

# 2
## Ho2ZnGa (SCAN)

Data for a PBEsol-optimized structure of Ho2ZnGa.

The structure in POSCAR format:
```
Ho2ZnGa
1.0
4.935 0.000 0.000
2.468 4.274 0.000
2.468 1.425 4.029
Ho Zn Ga
2 1 1
direct
0.250 0.250 0.250
0.750 0.750 0.750
0.500 0.500 0.500
0.000 0.000 0.000
```

Calculated values
Calculated formation energy, eV per atom: -0.570
Calculated total energy, eV per atom: -32.5293
Space group: Fm-3m (225)
V, Å³ per cell: 85.0

# 3
## SrHf2HgO (SCAN)

Data for a PBEsol-optimized structure of SrHf2HgO.

The structure in POSCAR format:
```
SrHf2HgO
1.0
-0.397 3.572 3.646
-5.104 -0.258 -0.303
-0.033 -4.352 4.261
Sr Hf O Hg
1 2 1 1
direct
0.000 0.000 0.500
0.500 0.000 0.000
0.000 0.500 0.000
0.500 0.500 0.500
0.000 0.000 0.000
```

Calculated values
Energy relative to the elements, uncorrected, meV per atom: 995
Calculated total energy, eV per atom: -43.4092
Space group: P4/mmm (123)
V, Å³ per cell: 159.6

# 4
## K2SrVB5O12 (SCAN)

Data for a PBEsol-optimized structure of K2SrVB5O12.

The structure in POSCAR format:
```
K2SrVB5O12
1.0
6.639 0.000 0.000
0.000 8.407 0.000
-1.699 0.000 9.830
O B K V Sr
24 10 4 2 2
direct
0.589 0.369 0.773
0.954 0.981 0.847
0.026 0.899 0.578
0.046 0.901 0.164
0.411 0.869 0.227
0.210 0.879 0.398
0.454 0.048 0.042
0.351 0.783 0.993
0.371 0.498 0.371
0.230 0.215 0.268
0.210 0.601 0.833
0.846 0.908 0.348
0.629 0.998 0.629
0.046 0.481 0.153
0.790 0.101 0.167
0.649 0.283 0.007
0.954 0.401 0.836
0.154 0.408 0.652
0.770 0.715 0.732
0.695 0.832 0.115
0.305 0.332 0.885
0.790 0.379 0.602
0.974 0.399 0.422
0.546 0.548 0.958
0.623 0.143 0.071
0.479 0.880 0.095
0.978 0.397 0.560
0.223 0.885 0.260
0.521 0.380 0.905
0.777 0.385 0.740
0.840 0.933 0.201
0.022 0.897 0.440
0.377 0.643 0.929
0.160 0.433 0.799
0.405 0.652 0.595
0.595 0.152 0.405
0.668 0.565 0.251
0.332 0.065 0.749
0.840 0.900 0.696
0.160 0.400 0.304
0.068 0.192 0.027
0.932 0.692 0.973
```

Calculated values
Energy relative to the elements, uncorrected, meV per atom: -2731
Calculated total energy, eV per atom: -10.7471
Space group: P2_1 (4)
V, Å³ per cell: 548.7

# 5
## BaInCo2Hg (SCAN)

Data for a PBEsol-optimized structure of BaInCo2Hg.

The structure in POSCAR format:
```
BaInCo2Hg
1.0
-4.707 -0.485 -1.395
0.455 -4.909 0.170
-1.516 0.036 5.099
Ba In Co Hg
1 1 2 1
direct
0.500 0.500 0.500
0.000 0.000 0.000
0.000 0.500 0.000
0.500 0.000 0.000
0.000 0.000 0.500
```

Calculated values
Calculated formation energy, eV per atom: 0.409
Calculated total energy, eV per atom: -34.7329
Space group: P4/mmm (123)
V, Å³ per cell: 129.4

# 6
## CaPCl2F (SCAN)

Data for a PBEsol-optimized structure of CaPCl2F.

The structure in POSCAR format:
```
CaPCl2F
1.0
3.726 0.000 0.000
0.000 5.212 0.000
0.000 0.000 5.212
Cl F Ca P
2 1 1 1
direct
0.000 0.500 0.000
0.000 0.000 0.500
0.000 0.000 0.000
0.500 0.500 0.500
0.500 0.000 0.000
```

Calculated values
Energy relative to the elements, uncorrected, meV per atom: -1066
Calculated total energy, eV per atom: -8.9776
Space group: P4/mmm (123)
V, Å³ per cell: 101.2

# 7
## TaCd2Ru (SCAN)

Data for a PBEsol-optimized structure of TaCd2Ru.

The structure in POSCAR format:
```
TaCd2Ru
1.0
3.174 0.000 0.000
0.000 4.463 0.000
-1.587 -2.231 4.848
Ta Ru Cd
1 1 2
direct
0.000 0.500 0.000
0.500 0.000 0.000
0.239 0.239 0.478
0.761 0.761 0.522
```

Calculated values
Calculated formation energy, eV per atom: 0.225
Calculated total energy, eV per atom: -40.3350
Space group: Immm (71)
V, Å³ per cell: 68.7

# 8
## K2ScIr (SCAN)

Data for a PBEsol-optimized structure of K2ScIr.

The structure in POSCAR format:
```
K2ScIr
1.0
4.551 0.000 0.000
0.000 4.551 0.000
0.000 0.000 5.368
Sc K Ir
1 2 1
direct
0.500 0.500 0.000
0.000 0.000 0.261
0.000 0.000 0.739
0.500 0.500 0.500
```

Calculated values
Calculated formation energy, eV per atom: 0.846
Calculated total energy, eV per atom: -24.6521
Space group: P4/mmm (123)
V, Å³ per cell: 111.2